A relaxed Cs3VCd2F9 crystal. Source: Alexandria via LeMat-Bulk, functional PBE+U.

a b c (Å): 6.3469 6.3469 7.7693
angles (deg): 90.00 90.00 120.00
Site moments in Bohr magnetons follow the coordinates.
Fractional positions:
1 Cs 0.3333 0.6667 0.6672  0.00
2 Cd 0.3333 0.6667 0.1744  0.00
3 F 0.1611 0.3222 0.3405  0.01
4 F 0.0000 0.5000 0.0000  0.00
5 Cd 0.6667 0.3333 0.8256  0.00
6 F 0.5000 0.5000 0.0000  0.00
7 F 0.5000 0.0000 0.0000  0.00
8 F 0.6778 0.8389 0.3405  0.01
9 F 0.8389 0.6778 0.6595  0.01
10 Cs 0.0000 0.0000 0.0000  0.00
11 F 0.8389 0.1611 0.6595  0.01
12 F 0.1611 0.8389 0.3405  0.01
13 Cs 0.6667 0.3333 0.3328  0.00
14 F 0.3222 0.1611 0.6595  0.01
15 V 0.0000 0.0000 0.5000  2.76

Results
- volume (Å³ per atom) = 18.07
- total magnetic moment (μB/atom) = 0.200
- calculated total energy (eV per cell) = -66.98